1.
Below is a relaxed structure of Hf2Zr4In, with properties calculated at the PBE level.

Values from the calculation:
Density of states at the Fermi level   17.517 states/eV per cell
Spin magnetization   0.00 μB per formula unit
Offset from the most stable computed form   10 meV per atom
ΔE_f   0.0370 eV per atom
E   -113.2 eV per cell

Lattice parameters (Å, degrees): 5.6752 5.6080 10.1595 90.00 90.00 90.00
With the nearest neighbours (Å) after each atom.
Space group Pmna (No. 53)
One atom of each set of equivalent atoms:
Hf (0.0000, 0.2452, 0.0266) (multiplicity 4)  2 Hf 2.80-2.91
Zr (0.0000, 0.0386, 0.3287) (multiplicity 4)  2 In 3.12-3.49, 6 Zr 3.17-3.31, 3 Hf 3.28-3.40
Zr (0.2500, 0.4473, 0.7500) (multiplicity 4)  4 Zr 2.84-3.17, 2 In 2.92
In (0.0000, 0.5000, 0.5000) (multiplicity 2)  6 Zr 2.92-3.12, 4 Hf 3.19


2.
Below is a relaxed structure of Hf9Zr11In4, with properties calculated at the PBE level.

Values from the calculation:
Density of states at the Fermi level   58.408 states/eV per cell
Spin magnetization   0.00 μB per formula unit
ΔE_f   -0.0388 eV per atom
E   -391.0 eV per cell

Lattice parameters (Å, degrees): 14.4265 23.2061 3.3022 90.00 90.00 90.00
With the nearest neighbours (Å) after each atom.
Space group Cmmm (No. 65)
One atom of each set of equivalent atoms:
Hf (0.0000, 0.0000, 0.0000) (multiplicity 2)  4 In 3.21, 4 Zr 3.28, 2 Hf 3.30
Hf (0.1047, 0.2221, 0.0000) (multiplicity 8)  3 Hf 3.02-3.30, 8 Zr 3.14-3.22, 1 In 3.20
Hf (0.1103, 0.4099, 0.0000) (multiplicity 8)  8 Zr 3.10-3.16, 3 Hf 3.18-3.30, 1 In 3.18
Zr (0.0000, 0.1221, 0.5000) (multiplicity 4)  4 In 3.04, 6 Hf 3.22-3.28, 2 Zr 3.30
Zr (0.0000, 0.3174, 0.5000) (multiplicity 4)  8 Hf 3.14-3.15, 4 Zr 3.18-3.30
Zr (0.0000, 0.5000, 0.5000) (multiplicity 2)  8 Hf 3.10, 4 Zr 3.27-3.30
Zr (0.2206, 0.3162, 0.5000) (multiplicity 8)  6 Hf 3.14-3.21, 2 In 3.16, 4 Zr 3.18-3.30
Zr (0.2267, 0.5000, 0.5000) (multiplicity 4)  4 In 3.06, 4 Hf 3.15, 3 Zr 3.27-3.30
In (0.1690, 0.0902, 0.0000) (multiplicity 8)  6 Zr 3.04-3.16, 3 Hf 3.18-3.21, 2 In 3.30


3.
Below is a relaxed structure of Hf3ZrIn, with properties calculated at the PBE level.

Values from the calculation:
Density of states at the Fermi level   6.140 states/eV per cell
Spin magnetization   0.00 μB per formula unit
Offset from the most stable computed form   0 meV per atom
ΔE_f   0.1879 eV per atom
E   -80.4 eV per cell

Lattice parameters (Å, degrees): 4.5102 7.0807 7.3732 90.00 90.00 90.00
With the nearest neighbours (Å) after each atom.
Space group Pmmn (No. 59, origin choice 2)
One atom of each set of equivalent atoms:
Hf (0.2500, 0.0457, 0.2459) (multiplicity 4)  4 Hf 2.89-3.04, 3 Zr 3.05-3.08, 2 In 3.08
Hf (0.2500, 0.7500, 0.9490) (multiplicity 2)  1 Zr 2.96, 6 Hf 3.03-3.04, 2 In 3.13
Zr (0.2500, 0.7500, 0.5476) (multiplicity 2)  7 Hf 2.96-3.08, 2 In 3.18
In (0.2500, 0.2500, 0.7570) (multiplicity 2)  6 Hf 3.08-3.13, 2 Zr 3.18


4.
Below is a relaxed structure of Hf3Zr2In2, with properties calculated at the PBE level.

Values from the calculation:
Density of states at the Fermi level   12.536 states/eV per cell
Spin magnetization   0.00 μB per formula unit
Offset from the most stable computed form   0 meV per atom
ΔE_f   -0.1613 eV per atom
E   -107.1 eV per cell

Lattice parameters (Å, degrees): 10.3823 4.2016 7.1821 90.00 95.83 90.00
With the nearest neighbours (Å) after each atom.
Space group C2/m (No. 12)
One atom of each set of equivalent atoms:
Hf (0.0000, 0.0000, 0.0000) (multiplicity 2)  4 In 3.06, 6 Hf 3.17-3.19, 2 Zr 3.26
Hf (0.2178, 0.5000, 0.1401) (multiplicity 4)  5 Hf 3.03-3.19, 3 Zr 3.09-3.30, 4 In 3.12-3.28
Zr (0.1436, 0.0000, 0.4259) (multiplicity 4)  4 Hf 3.09-3.30, 5 In 3.12-3.22, 3 Zr 3.15-3.27
In (0.0728, 0.5000, 0.7194) (multiplicity 4)  6 Hf 3.06-3.28, 5 Zr 3.12-3.22, 1 In 3.35


5.
Below is a relaxed structure of Hf3Zr2In, with properties calculated at the PBE level.

Values from the calculation:
Density of states at the Fermi level   12.459 states/eV per cell
Spin magnetization   0.00 μB per formula unit
Offset from the most stable computed form   0 meV per atom
ΔE_f   -0.0919 eV per atom
E   -100.5 eV per cell

Lattice parameters (Å, degrees): 4.4441 13.6571 4.4242 90.00 90.00 90.00
With the nearest neighbours (Å) after each atom.
Space group Cmmm (No. 65)
One atom of each set of equivalent atoms:
Hf (0.0000, 0.0000, 0.0000) (multiplicity 2)  4 In 3.14, 4 Zr 3.17, 4 Hf 3.18
Hf (0.0000, 0.3333, 0.0000) (multiplicity 4)  6 Zr 3.14-3.18, 2 In 3.17, 4 Hf 3.18
Zr (0.0000, 0.1662, 0.5000) (multiplicity 4)  8 Hf 3.14-3.18, 2 In 3.18, 2 Zr 3.19
In (0.0000, 0.5000, 0.5000) (multiplicity 2)  8 Hf 3.14-3.17, 4 Zr 3.18


6.
Below is a relaxed structure of Hf5ZrIn4, with properties calculated at the PBE level.

Values from the calculation:
Density of states at the Fermi level   21.572 states/eV per cell
Spin magnetization   0.01 μB per formula unit
ΔE_f   0.2101 eV per atom
E   -134.3 eV per cell

Lattice parameters (Å, degrees): 8.8152 10.4489 5.2683 90.00 90.00 90.00
With the nearest neighbours (Å) after each atom.
Space group Pmmn (No. 59, origin choice 2)
One atom of each set of equivalent atoms:
Hf (0.0847, 0.0019, 0.2500) (multiplicity 8)  4 Hf 2.91-3.14, 5 In 2.95-3.04, 1 Zr 3.22
Hf (0.2500, 0.2500, 0.0612) (multiplicity 2)  4 In 3.05-3.25, 4 Hf 3.14
Zr (0.2500, 0.7500, 0.0328) (multiplicity 2)  4 In 3.08-3.25, 4 Hf 3.22
In (0.0023, 0.7500, 0.4896) (multiplicity 4)  5 Hf 3.01-3.25, 1 Zr 3.25
In (0.2500, 0.0057, 0.7437) (multiplicity 4)  7 Hf 2.95-3.05, 1 Zr 3.08